No. 1
A relaxed Dy6TlS4 crystal, computed with PBE.

Output
formation energy (no corrections)	-1550	meV per atom
D(E_F)	12.698	states/eV/cell
space group	Cmcm (63)

Cell lengths 3.936, 6.844, 20.103 Å; angles 90.00, 90.00, 106.71 degrees
Sites, in units of the cell vectors:
Dy 0.500 0.000 0.000
Dy 0.500 0.000 0.500
Dy 0.038 0.077 0.343
Dy 0.962 0.923 0.657
Dy 0.962 0.923 0.843
Dy 0.038 0.077 0.157
Dy 0.772 0.543 0.417
Dy 0.228 0.457 0.583
Dy 0.228 0.457 0.917
Dy 0.772 0.543 0.083
Dy 0.347 0.693 0.250
Dy 0.653 0.307 0.750
Tl 0.663 0.326 0.250
Tl 0.337 0.674 0.750
S 0.863 0.725 0.540
S 0.406 0.811 0.121
S 0.137 0.275 0.460
S 0.594 0.189 0.879
S 0.863 0.725 0.960
S 0.137 0.275 0.040
S 0.594 0.189 0.621
S 0.406 0.811 0.379

***

No. 2
A relaxed Tb2Sm2Er2In crystal, computed with PBE.

Output
D(E_F)	10.473	states/eV/cell
DFT formation energy	-24	meV per atom
space group	C2/m (12)

Cell lengths 3.526, 6.106, 11.544 Å; angles 111.51, 90.00, 106.78 degrees
Sites, in units of the cell vectors:
Tb 0.674 0.348 0.085
Tb 0.326 0.652 0.915
Sm 0.532 0.063 0.755
Sm 0.468 0.937 0.245
Er 0.750 0.500 0.631
Er 0.250 0.500 0.369
In 0.000 0.000 0.500

***

No. 3
A relaxed LiMg crystal, computed with PBE.

Output
D(E_F)	6.802	states/eV/cell
DFT formation energy	98	meV per atom
space group	Amm2 (38)

Cell lengths 3.132, 11.998, 7.196 Å; angles 90.00, 90.00, 90.00 degrees
Sites, in units of the cell vectors:
Li 0.500 0.612 0.892
Li 0.500 0.388 0.892
Li 0.500 0.112 0.392
Li 0.500 0.888 0.392
Li 0.500 0.000 0.732
Li 0.500 0.500 0.232
Mg 0.000 0.218 0.701
Mg 0.000 0.782 0.701
Mg 0.000 0.718 0.201
Mg 0.000 0.282 0.201
Mg 0.000 0.000 0.080
Mg 0.000 0.500 0.580

***

No. 4
A relaxed CsAcTlS3 crystal, computed with PBE.

Output
formation energy (no corrections)	-1226	meV per atom
D(E_F)	2.123	states/eV/cell
space group	P2_1/m (11)

Cell lengths 4.823, 9.321, 10.434 Å; angles 106.06, 90.00, 90.00 degrees
Sites, in units of the cell vectors:
Cs 0.250 0.200 0.224
Cs 0.750 0.800 0.776
Ac 0.250 0.666 0.142
Ac 0.750 0.334 0.858
Tl 0.250 0.117 0.597
Tl 0.750 0.883 0.403
S 0.750 0.875 0.143
S 0.250 0.125 0.857
S 0.250 0.797 0.460
S 0.750 0.203 0.540
S 0.750 0.467 0.144
S 0.250 0.533 0.856

***

No. 5
A relaxed LaIn2Ag crystal, computed with PBE.

Output
D(E_F)	3.198	states/eV/cell
DFT formation energy	-228	meV per atom
space group	Pmm2 (25)

Cell lengths 3.686, 3.763, 7.531 Å; angles 90.00, 90.00, 90.00 degrees
Sites, in units of the cell vectors:
In 0.000 0.000 0.979
In 0.500 0.500 0.222
Ag 0.500 0.500 0.785
La 0.000 0.000 0.513

***

No. 6
A relaxed SbTe2Os crystal, computed with PBE.

Output
formation energy (no corrections)	454	meV per atom
D(E_F)	1.668	states/eV/cell
space group	P4/mmm (123)

Cell lengths 3.173, 3.173, 9.569 Å; angles 90.00, 90.00, 90.00 degrees
Sites, in units of the cell vectors:
Os 0.500 0.500 0.250
Sb 0.500 0.500 0.750
Te 0.000 0.000 0.067
Te 0.000 0.000 0.433

***

No. 7
A relaxed BaCaRu2 crystal, computed with PBE.

Output
D(E_F)	4.285	states/eV/cell
DFT formation energy	384	meV per atom
space group	Pmm2 (25)
polymorph energy (0 for the lowest one)	0.221	eV per atom

Cell lengths 3.188, 3.681, 9.046 Å; angles 90.00, 90.00, 90.00 degrees
Sites, in units of the cell vectors:
Ru 0.000 0.000 0.068
Ru 0.500 0.500 0.162
Ca 0.500 0.500 0.840
Ba 0.000 0.000 0.429

***

No. 8
A relaxed LiErAgPd crystal, computed with PBE.

Output
D(E_F)	2.116	states/eV/cell
DFT formation energy	-456	meV per atom
space group	F-43m (216)

Cell lengths 4.776, 4.776, 4.776 Å; angles 60.00, 60.00, 60.00 degrees
Sites, in units of the cell vectors:
Li 0.000 0.000 0.000
Pd 0.750 0.750 0.750
Ag 0.250 0.250 0.250
Er 0.500 0.500 0.500

***

No. 9
A relaxed CoIrPt14 crystal, computed with PBE.

Output
D(E_F)	28.955	states/eV/cell
DFT formation energy	23	meV per atom
space group	Amm2 (38)

Cell lengths 5.561, 5.561, 9.203 Å; angles 90.00, 90.00, 119.88 degrees
Last column: magnetic moment on the atom in μB.
Sites, in units of the cell vectors:
Co 0.542 0.458 0.500  2.13
Ir 0.041 0.959 0.500  0.37
Pt 0.207 0.793 0.000  0.17
Pt 0.707 0.293 0.000  0.07
Pt 0.044 0.456 0.500  0.18
Pt 0.208 0.293 0.000  0.11
Pt 0.544 0.956 0.500  0.18
Pt 0.707 0.792 0.000  0.11
Pt 0.375 0.128 0.741  0.16
Pt 0.375 0.128 0.259  0.16
Pt 0.872 0.625 0.741  0.16
Pt 0.872 0.625 0.259  0.16
Pt 0.376 0.624 0.746  0.17
Pt 0.376 0.624 0.254  0.17
Pt 0.876 0.124 0.748  0.09
Pt 0.876 0.124 0.252  0.09

***

No. 10
A relaxed KYO2F crystal, computed with PBE.

Output
formation energy (no corrections)	-1098	meV per atom
D(E_F)	1.163	states/eV/cell
space group	P4/mmm (123)

Cell lengths 4.411, 4.411, 4.295 Å; angles 90.00, 90.00, 90.00 degrees
Last column: magnetic moment on the atom in μB.
Sites, in units of the cell vectors:
Y 0.500 0.500 0.500  -0.05
K 0.000 0.000 0.000  0.10
O 0.000 0.500 0.000  0.41
O 0.500 0.000 0.000  0.41
F 0.000 0.000 0.500  0.00

***

No. 11
A relaxed SrN2ClF crystal, computed with PBE.

Output
formation energy (no corrections)	354	meV per atom
D(E_F)	2.435	states/eV/cell
space group	P4/mmm (123)
polymorph energy (0 for the lowest one)	0.000	eV per atom

Cell lengths 3.821, 3.821, 5.069 Å; angles 90.00, 90.00, 90.00 degrees
Last column: magnetic moment on the atom in μB.
Sites, in units of the cell vectors:
Sr 0.500 0.500 0.500  0.00
N 0.000 0.500 0.000  0.37
N 0.500 0.000 0.000  0.37
F 0.000 0.000 0.500  0.00
Cl 0.000 0.000 0.000  0.05

***

No. 12
A relaxed WAu crystal, computed with PBE.

Output
D(E_F)	2.163	states/eV/cell
DFT formation energy	615	meV per atom
space group	Fd-3m (227)
polymorph energy (0 for the lowest one)	0.365	eV per atom

Cell lengths 4.590, 4.590, 4.590 Å; angles 60.00, 60.00, 60.00 degrees
Sites, in units of the cell vectors:
Au 0.000 0.000 0.000
Au 0.750 0.750 0.750
W 0.250 0.250 0.250
W 0.500 0.500 0.500

***

No. 13
A relaxed Na3Br2Cl crystal, computed with PBE.

Output
formation energy (no corrections)	-1637	meV per atom
D(E_F)	0.000	states/eV/cell
space group	Immm (71)

Cell lengths 4.145, 5.931, 7.286 Å; angles 114.02, 106.53, 90.00 degrees
Sites, in units of the cell vectors:
Na 0.843 0.343 0.186
Na 0.157 0.657 0.814
Na 0.500 0.000 0.500
Br 0.832 0.832 0.165
Br 0.168 0.168 0.835
Cl 0.500 0.500 0.500

***

No. 14
A relaxed LaAg2Au crystal, computed with PBE.

Output
D(E_F)	2.881	states/eV/cell
DFT formation energy	-403	meV per atom
space group	Pmm2 (25)
polymorph energy (0 for the lowest one)	0.019	eV per atom

Cell lengths 4.994, 6.867, 5.359 Å; angles 90.00, 90.00, 90.00 degrees
Sites, in units of the cell vectors:
Au 0.500 0.740 0.799
Au 0.500 0.260 0.799
Ag 0.000 0.762 0.156
Ag 0.000 0.238 0.156
Ag 0.500 0.000 0.244
Ag 0.000 0.500 0.710
La 0.500 0.500 0.307
La 0.000 0.000 0.658

***

No. 15
A relaxed Pr6As2AuI3 crystal, computed with PBE.

Output
formation energy (no corrections)	-1131	meV per atom
D(E_F)	7.832	states/eV/cell
space group	C2/m (12)

Cell lengths 7.598, 7.598, 8.043 Å; angles 99.01, 99.01, 119.91 degrees
Sites, in units of the cell vectors:
Pr 0.933 0.596 0.796
Pr 0.732 0.732 0.205
Pr 0.067 0.404 0.204
Pr 0.596 0.933 0.796
Pr 0.268 0.268 0.795
Pr 0.404 0.067 0.204
As 0.334 0.666 0.000
As 0.666 0.334 0.000
Au 0.000 0.000 0.000
I 0.168 0.832 0.500
I 0.832 0.168 0.500
I 0.500 0.500 0.500

***

No. 16
A relaxed CaTiTlF6 crystal, computed with PBE.

Output
formation energy (no corrections)	-3173	meV per atom
D(E_F)	13.410	states/eV/cell
space group	P-31c (163)

Cell lengths 5.891, 5.891, 11.270 Å; angles 90.00, 90.00, 120.00 degrees
Last column: magnetic moment on the atom in μB.
Sites, in units of the cell vectors:
Ca 0.333 0.667 0.250  0.00
Ca 0.667 0.333 0.750  0.00
Ti 0.667 0.333 0.250  0.92
Ti 0.333 0.667 0.750  0.92
Tl 0.000 0.000 0.000  0.00
Tl 0.000 0.000 0.500  0.00
F 0.638 0.603 0.153  0.00
F 0.965 0.362 0.153  0.00
F 0.362 0.965 0.653  0.00
F 0.035 0.638 0.847  0.00
F 0.397 0.362 0.347  0.00
F 0.965 0.603 0.347  0.00
F 0.603 0.965 0.847  0.00
F 0.638 0.035 0.347  0.00
F 0.035 0.397 0.653  0.00
F 0.397 0.035 0.153  0.00
F 0.603 0.638 0.653  0.00
F 0.362 0.397 0.847  0.00

***

No. 17
A relaxed LaMgRe crystal, computed with PBE.

Output
D(E_F)	6.442	states/eV/cell
DFT formation energy	1405	meV per atom
space group	F-43m (216)
polymorph energy (0 for the lowest one)	0.924	eV per atom

Cell lengths 4.892, 4.892, 4.892 Å; angles 60.00, 60.00, 60.00 degrees
Last column: magnetic moment on the atom in μB.
Sites, in units of the cell vectors:
La 0.250 0.250 0.250  0.05
Mg 0.000 0.000 0.000  0.00
Re 0.500 0.500 0.500  1.55

***

No. 18
A relaxed PrSm2Y6Th3 crystal, computed with PBE.

Output
D(E_F)	17.404	states/eV/cell
DFT formation energy	18	meV per atom
space group	C2/m (12)

Cell lengths 6.242, 6.242, 11.808 Å; angles 95.07, 95.07, 120.00 degrees
Sites, in units of the cell vectors:
Pr 0.000 0.000 0.000
Sm 0.333 0.667 0.000
Sm 0.667 0.333 0.000
Y 0.915 0.581 0.744
Y 0.752 0.752 0.256
Y 0.085 0.419 0.256
Y 0.581 0.915 0.744
Y 0.248 0.248 0.744
Y 0.419 0.085 0.256
Th 0.167 0.833 0.500
Th 0.833 0.167 0.500
Th 0.500 0.500 0.500

***

No. 19
A relaxed Pr2Th2Te7 crystal, computed with PBE.

Output
formation energy (no corrections)	-1304	meV per atom
D(E_F)	1.268	states/eV/cell
space group	Imm2 (44)
polymorph energy (0 for the lowest one)	0.000	eV per atom

Cell lengths 4.492, 9.798, 9.798 Å; angles 61.00, 76.75, 76.75 degrees
Sites, in units of the cell vectors:
Pr 0.736 0.852 0.675
Pr 0.264 0.325 0.148
Th 0.000 0.779 0.221
Th 0.500 0.327 0.673
Te 0.818 0.067 0.296
Te 0.863 0.425 0.848
Te 0.500 0.012 0.988
Te 0.608 0.498 0.287
Te 0.392 0.713 0.502
Te 0.182 0.704 0.933
Te 0.137 0.152 0.575

***

No. 20
A relaxed OsAuI2 crystal, computed with PBE.

Output
formation energy (no corrections)	925	meV per atom
D(E_F)	3.488	states/eV/cell
space group	I-42d (122)
polymorph energy (0 for the lowest one)	0.000	eV per atom

Cell lengths 6.897, 6.897, 6.985 Å; angles 60.42, 60.42, 90.00 degrees
Sites, in units of the cell vectors:
I 0.583 0.125 0.250
I 0.167 0.625 0.250
I 0.375 0.417 0.750
I 0.875 0.833 0.750
Os 0.500 0.500 0.000
Os 0.250 0.750 0.500
Au 0.000 0.000 0.000
Au 0.750 0.250 0.500